1) # MgPHO9

MgPHO9 after structural relaxation (PBE, Alexandria via LeMat-Bulk).

Geometry as POSCAR:
```
MgPHO9
1.0
6.850 0.197 -0.567
-0.100 5.296 0.931
-0.830 0.788 5.208
O P Mg H
9 1 1 1
direct
0.653 0.001 0.753 O
0.975 0.288 0.036 O
0.632 0.543 0.501 O
0.080 0.021 0.683 O
0.577 0.942 0.952 O
0.889 0.431 0.123 O
0.007 0.824 0.640 O
0.308 0.851 0.308 O
0.335 0.459 0.730 O
0.409 0.571 0.466 P
0.308 0.145 0.000 Mg
0.317 0.417 0.300 H
```

Output
density	1.833	g cm⁻³
symmetry	P1, No. 1
volume	181.4	Å³/f.u.

2) # MgPHO9

MgPHO9 after structural relaxation (PBE, Alexandria via LeMat-Bulk).

Geometry as POSCAR:
```
MgPHO9
1.0
3.682 -3.871 -0.013
3.682 3.871 -0.013
-0.368 0.000 5.330
O H Mg P
9 1 1 1
direct
0.065 0.978 0.664 O
0.392 0.731 0.410 O
0.664 0.065 0.978 O
0.978 0.664 0.065 O
0.930 0.999 0.468 O
0.410 0.392 0.731 O
0.999 0.468 0.930 O
0.731 0.410 0.392 O
0.468 0.930 0.999 O
0.301 0.301 0.301 H
0.073 0.073 0.073 Mg
0.469 0.469 0.469 P
```

Output
density	2.190	g cm⁻³
symmetry	R3, No. 146
volume	151.9	Å³/f.u.

Energies, relative to the best one, in eV/atom: 1) 0.000; 2) 0.237.

1) # MgZr2H10S6O28

MgZr2H10S6O28 after structural relaxation (PBE, Alexandria via LeMat-Bulk).

Geometry as POSCAR:
```
MgZr2H10S6O28
1.0
-0.266 -5.148 -1.354
3.892 -1.882 7.862
-12.506 -0.340 4.623
H O S Zr Mg
10 28 6 2 1
direct
0.394 0.603 0.607 H
0.520 0.304 0.464 H
0.602 0.126 0.457 H
0.485 0.207 0.568 H
0.313 0.603 0.487 H
0.455 0.407 0.879 H
0.190 0.390 0.829 H
0.821 0.554 0.051 H
0.255 0.757 0.566 H
0.684 0.557 0.155 H
0.652 0.673 0.828 O
0.591 0.217 0.049 O
0.098 0.845 0.912 O
0.590 0.224 0.502 O
0.261 0.642 0.555 O
0.038 0.032 0.737 O
0.812 0.610 0.119 O
0.580 0.535 0.659 O
0.474 0.975 0.750 O
0.347 0.181 0.657 O
0.635 0.971 0.398 O
0.854 0.130 0.914 O
0.267 0.719 0.050 O
0.138 0.284 0.285 O
0.412 0.452 0.400 O
0.435 0.811 0.258 O
0.799 0.400 0.952 O
0.206 0.982 0.074 O
0.258 0.925 0.587 O
0.301 0.345 0.875 O
0.467 0.418 0.215 O
0.876 0.891 0.251 O
0.119 0.560 0.289 O
0.553 0.071 0.239 O
0.032 0.265 0.069 O
0.880 0.754 0.696 O
0.535 0.892 0.962 O
0.971 0.505 0.749 O
0.282 0.855 0.997 S
0.824 0.256 0.990 S
0.775 0.604 0.731 S
0.275 0.029 0.678 S
0.282 0.435 0.301 S
0.627 0.931 0.289 S
0.327 0.189 0.151 Zr
0.780 0.904 0.823 Zr
0.101 0.728 0.193 Mg
```

Output
density	2.245	g cm⁻³
symmetry	P1, No. 1
volume	634.2	Å³/f.u.

2) # MgZr2H10S6O28

MgZr2H10S6O28 after structural relaxation (PBE, Alexandria via LeMat-Bulk).

Geometry as POSCAR:
```
MgZr2H10S6O28
1.0
5.307 0.067 0.026
-0.817 9.062 0.028
-0.026 -0.893 12.630
H O S Zr Mg
10 28 6 2 1
direct
0.115 0.390 0.831 H
0.520 0.346 0.454 H
0.475 0.737 0.437 H
0.869 0.621 0.172 H
0.466 0.238 0.614 H
0.680 0.568 0.084 H
0.296 0.433 0.924 H
0.301 0.802 0.531 H
0.660 0.197 0.474 H
0.463 0.649 0.554 H
0.835 0.057 0.426 O
0.548 0.122 0.062 O
0.504 0.856 0.945 O
0.725 0.350 0.986 O
0.481 0.946 0.717 O
0.621 0.651 0.802 O
0.059 0.031 0.735 O
0.141 0.251 0.315 O
0.401 0.201 0.686 O
0.478 0.448 0.367 O
0.251 0.643 0.011 O
0.109 0.510 0.268 O
0.730 0.654 0.131 O
0.582 0.561 0.613 O
0.467 0.037 0.309 O
0.254 0.996 0.561 O
0.233 0.348 0.877 O
0.892 0.993 0.239 O
0.058 0.836 0.920 O
0.511 0.252 0.496 O
0.909 0.752 0.683 O
0.992 0.176 0.062 O
0.670 0.815 0.350 O
0.773 0.106 0.897 O
0.231 0.891 0.096 O
0.360 0.710 0.497 O
0.927 0.487 0.715 O
0.408 0.341 0.184 O
0.265 0.797 0.996 S
0.754 0.198 0.998 S
0.764 0.603 0.701 S
0.287 0.404 0.285 S
0.721 0.969 0.329 S
0.294 0.040 0.676 S
0.244 0.115 0.164 Zr
0.774 0.878 0.824 Zr
0.216 0.114 0.429 Mg
```

Output
density	2.340	g cm⁻³
symmetry	P1, No. 1
volume	608.3	Å³/f.u.

Energies, relative to the best one, in eV/atom: 1) 0.000; 2) 0.041.

1) # Mg3H6SeO3

Mg3H6SeO3 after structural relaxation (PBE, Alexandria via LeMat-Bulk).

Geometry as POSCAR:
```
Mg3H6SeO3
1.0
5.886 0.053 0.740
-2.962 5.125 -0.711
-1.112 -1.572 6.511
H O Se Mg
6 3 1 3
direct
0.484 0.566 0.374 H
0.553 0.626 0.292 H
0.947 0.270 0.198 H
0.166 0.976 0.295 H
0.363 0.985 0.485 H
0.997 0.571 0.289 H
0.895 0.397 0.177 O
0.534 0.097 0.733 O
0.175 0.925 0.423 O
0.931 0.878 0.955 Se
0.460 0.770 0.800 Mg
0.884 0.402 0.871 Mg
0.240 0.164 0.737 Mg
```

Output
density	1.722	g cm⁻³
symmetry	P1, No. 1
volume	198.6	Å³/f.u.

2) # Mg3H6SeO3

Mg3H6SeO3 after structural relaxation (PBE, Alexandria via LeMat-Bulk).

Geometry as POSCAR:
```
Mg3H6SeO3
1.0
3.663 -0.379 0.338
0.698 5.634 -0.421
1.336 -0.071 7.597
O H Mg Se
3 6 3 1
direct
0.198 0.387 0.999 O
0.985 0.096 0.313 O
0.655 0.846 0.066 O
0.445 0.470 0.322 H
0.608 0.830 0.195 H
0.452 0.542 0.407 H
0.137 0.451 0.124 H
0.783 0.213 0.324 H
0.875 0.344 0.684 H
0.929 0.058 0.573 Mg
0.175 0.025 0.037 Mg
0.768 0.547 0.882 Mg
0.361 0.819 0.702 Se
```

Output
density	2.187	g cm⁻³
symmetry	P1, No. 1
volume	156.4	Å³/f.u.

Energies, relative to the best one, in eV/atom: 1) 0.196; 2) 0.000.

1) # MgSiH6O6

MgSiH6O6 after structural relaxation (PBE, Alexandria via LeMat-Bulk).

Geometry as POSCAR:
```
MgSiH6O6
1.0
-1.130 -4.995 -0.931
4.877 -1.306 1.091
-1.819 -0.908 7.083
H O Mg Si
12 12 2 2
direct
0.457 0.697 0.226 H
0.200 0.541 0.511 H
0.309 0.590 0.949 H
0.297 0.036 0.015 H
0.146 0.068 0.552 H
0.809 0.410 0.051 H
0.045 0.228 0.268 H
0.545 0.772 0.732 H
0.797 0.964 0.985 H
0.646 0.932 0.448 H
0.957 0.303 0.774 H
0.700 0.459 0.489 H
0.460 0.133 0.021 O
0.649 0.948 0.313 O
0.534 0.368 0.479 O
0.294 0.600 0.814 O
0.689 0.888 0.690 O
0.833 0.441 0.811 O
0.149 0.052 0.687 O
0.960 0.867 0.979 O
0.333 0.559 0.189 O
0.794 0.400 0.186 O
0.034 0.632 0.521 O
0.189 0.112 0.310 O
0.992 0.753 0.251 Mg
0.492 0.247 0.749 Mg
0.992 0.748 0.750 Si
0.492 0.252 0.250 Si
```

Output
density	2.589	g cm⁻³
symmetry	P2_1, No. 4
volume	99.1	Å³/f.u.

2) # MgSiH6O6

MgSiH6O6 after structural relaxation (PBE, Alexandria via LeMat-Bulk).

Geometry as POSCAR:
```
MgSiH6O6
1.0
-4.936 1.755 0.151
-0.263 -0.297 -5.136
-2.457 -6.955 0.507
O H Si Mg
12 12 2 2
direct
0.197 0.093 0.307 O
0.515 0.375 0.478 O
0.844 0.454 0.818 O
0.808 0.396 0.199 O
0.475 0.128 0.021 O
0.975 0.872 0.979 O
0.660 0.950 0.317 O
0.015 0.625 0.522 O
0.344 0.546 0.182 O
0.308 0.604 0.801 O
0.160 0.050 0.683 O
0.697 0.907 0.693 O
0.449 0.726 0.766 H
0.620 0.006 0.011 H
0.949 0.274 0.234 H
0.037 0.189 0.717 H
0.865 0.511 0.508 H
0.846 0.433 0.952 H
0.537 0.811 0.283 H
0.346 0.567 0.048 H
0.120 0.994 0.989 H
0.365 0.489 0.492 H
0.183 0.090 0.441 H
0.683 0.910 0.559 H
0.502 0.251 0.249 Si
0.002 0.749 0.751 Si
0.001 0.747 0.249 Mg
0.501 0.253 0.751 Mg
```

Output
density	2.569	g cm⁻³
symmetry	P2_1, No. 4
volume	99.8	Å³/f.u.

Energies, relative to the best one, in eV/atom: 1) 0.000; 2) 0.009.

1) # Mg16Si8HO32

Mg16Si8HO32 after structural relaxation (PBE, Alexandria via LeMat-Bulk).

Geometry as POSCAR:
```
Mg16Si8HO32
1.0
-5.605 -1.501 1.905
0.501 -8.068 -5.252
4.258 -4.953 8.083
Mg O Si H
16 32 8 1
direct
0.509 0.998 0.997 Mg
0.498 0.243 0.513 Mg
0.246 0.992 0.281 Mg
0.004 0.501 0.995 Mg
0.746 0.505 0.723 Mg
0.248 0.254 0.779 Mg
0.992 0.750 0.503 Mg
0.751 0.748 0.220 Mg
0.504 0.501 0.000 Mg
0.796 0.232 0.210 Mg
0.250 0.753 0.778 Mg
0.492 0.750 0.500 Mg
0.011 0.998 0.996 Mg
0.217 0.509 0.276 Mg
0.997 0.247 0.503 Mg
0.749 0.002 0.723 Mg
0.756 0.862 0.051 O
0.264 0.139 0.948 O
0.967 0.361 0.836 O
0.059 0.132 0.162 O
0.751 0.616 0.907 O
0.536 0.360 0.837 O
0.245 0.365 0.593 O
0.464 0.610 0.661 O
0.537 0.860 0.836 O
0.746 0.889 0.553 O
0.957 0.889 0.338 O
0.251 0.385 0.093 O
0.245 0.865 0.594 O
0.246 0.109 0.451 O
0.464 0.109 0.667 O
0.260 0.885 0.091 O
0.759 0.360 0.052 O
0.748 0.134 0.408 O
0.744 0.388 0.550 O
0.485 0.154 0.169 O
0.236 0.610 0.448 O
0.468 0.639 0.163 O
0.739 0.632 0.407 O
0.941 0.387 0.329 O
0.494 0.392 0.346 O
0.031 0.609 0.663 O
0.968 0.860 0.837 O
0.037 0.643 0.160 O
0.253 0.639 0.946 O
0.757 0.116 0.909 O
0.526 0.889 0.338 O
0.033 0.109 0.665 O
0.753 0.786 0.906 Si
0.743 0.464 0.406 Si
0.744 0.963 0.407 Si
0.256 0.715 0.092 Si
0.753 0.286 0.905 Si
0.245 0.034 0.597 Si
0.243 0.536 0.595 Si
0.266 0.215 0.093 Si
0.487 0.319 0.277 H
```

Output
density	3.058	g cm⁻³
symmetry	P1, No. 1
volume	611.7	Å³/f.u.

2) # Mg16Si8HO32

Mg16Si8HO32 after structural relaxation (PBE, Alexandria via LeMat-Bulk).

Geometry as POSCAR:
```
Mg16Si8HO32
1.0
6.060 0.000 0.000
0.000 9.612 -0.001
0.000 -0.004 10.337
O Mg Si H
32 16 8 1
direct
0.000 0.857 0.950 O
0.783 0.858 0.166 O
0.215 0.355 0.166 O
0.717 0.108 0.341 O
0.500 0.880 0.909 O
0.000 0.358 0.949 O
0.000 0.613 0.095 O
0.280 0.610 0.343 O
0.283 0.136 0.840 O
0.283 0.108 0.341 O
0.000 0.385 0.450 O
0.000 0.886 0.450 O
0.283 0.635 0.839 O
0.717 0.635 0.839 O
0.217 0.886 0.666 O
0.217 0.858 0.166 O
0.500 0.639 0.054 O
0.000 0.630 0.596 O
0.783 0.886 0.666 O
0.500 0.380 0.912 O
0.717 0.136 0.840 O
0.500 0.107 0.556 O
0.000 0.130 0.595 O
0.500 0.363 0.415 O
0.216 0.385 0.666 O
0.500 0.135 0.056 O
0.785 0.355 0.166 O
0.500 0.864 0.411 O
0.500 0.608 0.555 O
0.784 0.385 0.666 O
0.720 0.610 0.343 O
0.000 0.112 0.093 O
0.750 0.247 0.504 Mg
0.500 0.492 0.724 Mg
0.750 0.996 0.002 Mg
0.250 0.747 0.504 Mg
0.250 0.497 0.003 Mg
0.500 0.753 0.226 Mg
0.250 0.247 0.504 Mg
0.000 0.000 0.281 Mg
0.750 0.497 0.003 Mg
0.000 0.243 0.780 Mg
0.750 0.747 0.504 Mg
0.250 0.996 0.002 Mg
0.000 0.500 0.281 Mg
0.500 0.250 0.226 Mg
0.000 0.742 0.780 Mg
0.500 0.993 0.726 Mg
0.500 0.710 0.907 Si
0.000 0.460 0.597 Si
0.000 0.783 0.097 Si
0.500 0.210 0.910 Si
0.500 0.533 0.407 Si
0.000 0.282 0.095 Si
0.000 0.960 0.597 Si
0.500 0.034 0.410 Si
0.500 0.488 0.212 H
```

Output
density	3.107	g cm⁻³
symmetry	Pm, No. 6
volume	602.2	Å³/f.u.

Energies, relative to the best one, in eV/atom: 1) 0.012; 2) 0.000.